A plane-wave DFT calculation with GGA-PBE was carried out for an optimized crystal structure of Zr6AgO.

CIF file:
```
data_Zr6AgO
_cell_length_a 5.1643
_cell_length_b 5.7721
_cell_length_c 5.9558
_cell_angle_alpha 99.06
_cell_angle_beta 112.48
_cell_angle_gamma 90.54
_space_group_name_H-M_alt 'P -1'
_space_group_IT_number 2
loop_
_space_group_symop_operation_xyz
'x,y,z'
'-x,-y,-z'
loop_
_atom_site_label
_atom_site_fract_x
_atom_site_fract_y
_atom_site_fract_z
_atom_site_occupancy
Zr1 0.0651 0.2915 0.1492 1
Zr2 0.2200 0.8331 0.4657 1
Zr3 0.4018 0.3821 0.7430 1
Ag1 0.5000 0.0000 0.0000 1
O1 0.0000 0.5000 0.5000 1
```

Calculated values
**DOS at the Fermi energy**: 8.52 states/eV per cell
**Formation energy (no corrections)**: -0.62 eV/atom